Below is an optimized crystal structure of YCuPb, with properties calculated at the GGA-PBE level.

The calculation puts the density of states at the Fermi level at 4.057 states/eV per cell. The formation energy is -0.9 eV per formula unit. The total magnetization is 0.0 μB per formula unit.

The structure belongs to space group C2/m (No. 12); the cell edges are 8.068, 4.656 and 8.042 Å and the angles 90.00°, 109.57° and 90.00°. The asymmetric unit holds Y at (0.239, 0.000, 0.215), Cu at (0.128, 0.500, 0.383), Pb at (0.000, 0.000, 0.500) and Pb at (0.000, 0.500, 0.000).